First-principles (PBEsol) data for a relaxed CoCuPCl2 crystal, as listed in Alexandria via LeMat-Bulk.

Calculated values
Energy relative to the elements, uncorrected (eV/atom): 0.41
Magnetic moment (Bohr magnetons per cell): 0.00

a = 4.6031 Å, b = 4.6031 Å, c = 4.1824 Å
α = 90.00°, β = 90.00°, γ = 90.00°
Last column: nearest neighbours and their distance in Å.
Space group P4/mmm (No. 123)
Asymmetric unit:
Co: 0.0000 0.0000 0.0000 x1  2 P 2.09, 4 Cl 2.30
Cu: 0.5000 0.5000 0.5000 x1  8 Cl 3.11, 4 P 3.25
P: 0.0000 0.0000 0.5000 x1  2 Co 2.09
Cl: 0.0000 0.5000 0.0000 x2  2 Co 2.30